# RbLaMg14 GGA-PBE relaxed
# DFT formation energy = 1.8 eV per formula unit
# spin magnetization = 0.00 μB/cell
# mass density = 2.2 g/cm³
# total DFT energy (no corrections) = -1.65 eV per atom
data_RbLaMg14
_chemical_formula_sum 'Rb1 La1 Mg14'
_space_group_name_H-M_alt 'P -6 m 2'
_space_group_IT_number 187
_space_group_name_Hall 'P -6 2'
_cell_length_a 6.8117
_cell_length_b 6.8117
_cell_length_c 10.6010
_cell_angle_alpha 90.00
_cell_angle_beta 90.00
_cell_angle_gamma 120.00
loop_
_atom_site_label
_atom_site_type_symbol
_atom_site_fract_x
_atom_site_fract_y
_atom_site_fract_z
_atom_site_occupancy
Rb1 Rb 0.0000 0.0000 0.0000 1
La1 La 0.0000 0.0000 0.5000 1
Mg1 Mg 0.0075 0.5037 0.0000 1
Mg2 Mg 0.0076 0.5038 0.5000 1
Mg3 Mg 0.1764 0.3527 0.2564 1
Mg4 Mg 0.6667 0.3333 0.2537 1

---

# RbLa2MgRe GGA-PBE relaxed
# DFT formation energy = 8.9 eV per formula unit
# spin magnetization = 0.45 μB/cell
# mass density = 6.1 g/cm³
# total DFT energy (no corrections) = -3.20 eV per atom
data_RbLa2MgRe
_chemical_formula_sum 'Rb1 La2 Mg1 Re1'
_space_group_name_H-M_alt 'P 4/m m m'
_space_group_IT_number 123
_space_group_name_Hall '-P 4 2'
_cell_length_a 5.6425
_cell_length_b 5.6425
_cell_length_c 4.9226
_cell_angle_alpha 90.00
_cell_angle_beta 90.00
_cell_angle_gamma 90.00
loop_
_atom_site_label
_atom_site_type_symbol
_atom_site_fract_x
_atom_site_fract_y
_atom_site_fract_z
_atom_site_occupancy
Rb1 Rb 0.0000 0.0000 0.0000 1
La1 La 0.0000 0.5000 0.0000 1
Mg1 Mg 0.5000 0.5000 0.5000 1
Re1 Re 0.0000 0.0000 0.5000 1